# PBE-GGA Pa3Pb, relaxed
data_Pa3Pb
_space_group_name_H-M_alt 'P 1'
_space_group_IT_number 1
_cell_length_a 5.267
_cell_length_b 5.267
_cell_length_c 5.267
_cell_angle_alpha 60.00
_cell_angle_beta 60.00
_cell_angle_gamma 60.00
loop_
_space_group_symop_operation_xyz
'x,y,z'
loop_
_atom_site_label
_atom_site_type_symbol
_atom_site_fract_x
_atom_site_fract_y
_atom_site_fract_z
_atom_site_occupancy
Pa1 Pa 0.000 0.000 0.000 1
Pa2 Pa 0.250 0.250 0.250 1
Pa3 Pa 0.750 0.750 0.750 1
Pb1 Pb 0.500 0.500 0.500 1
# Total energy: -31.19 eV for the cell shown
# Energy relative to the lowest polymorph listed for this composition: 22.0 kJ per mole of atoms
# DFT formation energy: 0.253 eV per atom

---

# PBE-GGA Pa2Pb, relaxed
data_Pa2Pb
_space_group_name_H-M_alt 'P 1'
_space_group_IT_number 1
_cell_length_a 6.069
_cell_length_b 6.069
_cell_length_c 6.069
_cell_angle_alpha 60.00
_cell_angle_beta 60.00
_cell_angle_gamma 60.00
loop_
_space_group_symop_operation_xyz
'x,y,z'
loop_
_atom_site_label
_atom_site_type_symbol
_atom_site_fract_x
_atom_site_fract_y
_atom_site_fract_z
_atom_site_occupancy
Pa1 Pa 0.000 0.000 0.000 1
Pa2 Pa 0.000 0.000 0.500 1
Pa3 Pa 0.000 0.500 0.000 1
Pa4 Pa 0.500 0.000 0.000 1
Pb1 Pb 0.375 0.375 0.375 1
Pb2 Pb 0.625 0.625 0.625 1
# Total energy: -44.09 eV for the cell shown
# Energy relative to the lowest polymorph listed for this composition: 4.5 kJ per mole of atoms
# DFT formation energy: 0.218 eV per atom

---

# PBE-GGA Pa2Pb, relaxed
data_Pa2Pb
_space_group_name_H-M_alt 'P 1'
_space_group_IT_number 1
_cell_length_a 5.529
_cell_length_b 5.529
_cell_length_c 5.529
_cell_angle_alpha 135.12
_cell_angle_beta 135.12
_cell_angle_gamma 65.35
loop_
_space_group_symop_operation_xyz
'x,y,z'
loop_
_atom_site_label
_atom_site_type_symbol
_atom_site_fract_x
_atom_site_fract_y
_atom_site_fract_z
_atom_site_occupancy
Pa1 Pa 0.142 0.142 0.000 1
Pa2 Pa 0.858 0.858 0.000 1
Pb1 Pb 0.500 0.500 0.000 1
# Total energy: -22.19 eV for the cell shown
# Energy relative to the lowest polymorph listed for this composition: 0.0 kJ per mole of atoms
# DFT formation energy: 0.171 eV per atom

---

# PBE-GGA Pa7Pb, relaxed
data_Pa7Pb
_space_group_name_H-M_alt 'P 1'
_space_group_IT_number 1
_cell_length_a 6.571
_cell_length_b 6.571
_cell_length_c 6.571
_cell_angle_alpha 60.00
_cell_angle_beta 60.00
_cell_angle_gamma 60.00
loop_
_space_group_symop_operation_xyz
'x,y,z'
loop_
_atom_site_label
_atom_site_type_symbol
_atom_site_fract_x
_atom_site_fract_y
_atom_site_fract_z
_atom_site_occupancy
Pa1 Pa 0.000 0.000 0.000 1
Pa2 Pa 0.000 0.000 0.500 1
Pa3 Pa 0.000 0.500 0.000 1
Pa4 Pa 0.000 0.500 0.500 1
Pa5 Pa 0.500 0.000 0.000 1
Pa6 Pa 0.500 0.000 0.500 1
Pa7 Pa 0.500 0.500 0.000 1
Pb1 Pb 0.500 0.500 0.500 1
# Total energy: -70.58 eV for the cell shown
# DFT formation energy: -0.049 eV per atom

---

# PBE-GGA PaPb3, relaxed
data_PaPb3
_space_group_name_H-M_alt 'P 1'
_space_group_IT_number 1
_cell_length_a 6.257
_cell_length_b 6.257
_cell_length_c 6.257
_cell_angle_alpha 136.80
_cell_angle_beta 136.80
_cell_angle_gamma 62.75
loop_
_space_group_symop_operation_xyz
'x,y,z'
loop_
_atom_site_label
_atom_site_type_symbol
_atom_site_fract_x
_atom_site_fract_y
_atom_site_fract_z
_atom_site_occupancy
Pa1 Pa 0.000 0.000 0.000 1
Pb1 Pb 0.250 0.750 0.500 1
Pb2 Pb 0.500 0.500 0.000 1
Pb3 Pb 0.750 0.250 0.500 1
# Total energy: -20.37 eV for the cell shown
# Energy relative to the lowest polymorph listed for this composition: 7.1 kJ per mole of atoms
# DFT formation energy: 0.064 eV per atom

---

# PBE-GGA Pa3Pb, relaxed
data_Pa3Pb
_space_group_name_H-M_alt 'P 1'
_space_group_IT_number 1
_cell_length_a 5.734
_cell_length_b 5.734
_cell_length_c 5.734
_cell_angle_alpha 132.04
_cell_angle_beta 132.04
_cell_angle_gamma 70.16
loop_
_space_group_symop_operation_xyz
'x,y,z'
loop_
_atom_site_label
_atom_site_type_symbol
_atom_site_fract_x
_atom_site_fract_y
_atom_site_fract_z
_atom_site_occupancy
Pa1 Pa 0.000 0.000 0.000 1
Pa2 Pa 0.250 0.750 0.500 1
Pa3 Pa 0.750 0.250 0.500 1
Pb1 Pb 0.500 0.500 0.000 1
# Total energy: -31.95 eV for the cell shown
# Energy relative to the lowest polymorph listed for this composition: 3.5 kJ per mole of atoms
# DFT formation energy: 0.061 eV per atom

---

# PBE-GGA PaPb3, relaxed
data_PaPb3
_space_group_name_H-M_alt 'P 1'
_space_group_IT_number 1
_cell_length_a 4.812
_cell_length_b 4.812
_cell_length_c 4.812
_cell_angle_alpha 90.00
_cell_angle_beta 90.00
_cell_angle_gamma 90.00
loop_
_space_group_symop_operation_xyz
'x,y,z'
loop_
_atom_site_label
_atom_site_type_symbol
_atom_site_fract_x
_atom_site_fract_y
_atom_site_fract_z
_atom_site_occupancy
Pa1 Pa 0.000 0.000 0.000 1
Pb1 Pb 0.000 0.500 0.500 1
Pb2 Pb 0.500 0.000 0.500 1
Pb3 Pb 0.500 0.500 0.000 1
# Total energy: -20.66 eV for the cell shown
# Energy relative to the lowest polymorph listed for this composition: 0.0 kJ per mole of atoms
# DFT formation energy: -0.011 eV per atom

---

# PBE-GGA Pa3Pb, relaxed
data_Pa3Pb
_space_group_name_H-M_alt 'P 1'
_space_group_IT_number 1
_cell_length_a 3.266
_cell_length_b 5.488
_cell_length_c 5.736
_cell_angle_alpha 90.00
_cell_angle_beta 90.00
_cell_angle_gamma 90.00
loop_
_space_group_symop_operation_xyz
'x,y,z'
loop_
_atom_site_label
_atom_site_type_symbol
_atom_site_fract_x
_atom_site_fract_y
_atom_site_fract_z
_atom_site_occupancy
Pa1 Pa 0.000 0.000 0.000 1
Pa2 Pa 0.000 0.500 0.392 1
Pa3 Pa 0.500 0.000 0.501 1
Pb1 Pb 0.500 0.500 0.880 1
# Total energy: -32.05 eV for the cell shown
# Energy relative to the lowest polymorph listed for this composition: 1.1 kJ per mole of atoms
# DFT formation energy: 0.035 eV per atom

---

# PBE-GGA PaPd12Pb3, relaxed
data_PaPd12Pb3
_space_group_name_H-M_alt 'P 1'
_space_group_IT_number 1
_cell_length_a 4.121
_cell_length_b 4.121
_cell_length_c 16.488
_cell_angle_alpha 90.00
_cell_angle_beta 90.00
_cell_angle_gamma 90.00
loop_
_space_group_symop_operation_xyz
'x,y,z'
loop_
_atom_site_label
_atom_site_type_symbol
_atom_site_fract_x
_atom_site_fract_y
_atom_site_fract_z
_atom_site_occupancy
Pa1 Pa 0.000 0.000 0.000 1
Pd1 Pd 0.000 0.500 0.120 1
Pd2 Pd 0.000 0.500 0.376 1
Pd3 Pd 0.000 0.500 0.624 1
Pd4 Pd 0.000 0.500 0.880 1
Pd5 Pd 0.500 0.000 0.120 1
Pd6 Pd 0.500 0.000 0.376 1
Pd7 Pd 0.500 0.000 0.624 1
Pd8 Pd 0.500 0.000 0.880 1
Pd9 Pd 0.500 0.500 0.000 1
Pd10 Pd 0.500 0.500 0.248 1
Pd11 Pd 0.500 0.500 0.500 1
Pd12 Pd 0.500 0.500 0.752 1
Pb1 Pb 0.000 0.000 0.255 1
Pb2 Pb 0.000 0.000 0.500 1
Pb3 Pb 0.000 0.000 0.745 1
# Total energy: -89.94 eV for the cell shown
# DFT formation energy: -0.438 eV per atom

---

# PBE-GGA PaPd2Pb, relaxed
data_PaPd2Pb
_space_group_name_H-M_alt 'P 1'
_space_group_IT_number 1
_cell_length_a 3.318
_cell_length_b 3.318
_cell_length_c 7.733
_cell_angle_alpha 90.00
_cell_angle_beta 90.00
_cell_angle_gamma 90.00
loop_
_space_group_symop_operation_xyz
'x,y,z'
loop_
_atom_site_label
_atom_site_type_symbol
_atom_site_fract_x
_atom_site_fract_y
_atom_site_fract_z
_atom_site_occupancy
Pa1 Pa 0.000 0.000 0.000 1
Pd1 Pd 0.500 0.500 0.239 1
Pd2 Pd 0.500 0.500 0.761 1
Pb1 Pb 0.000 0.000 0.500 1
# Total energy: -25.02 eV for the cell shown
# Energy relative to the lowest polymorph listed for this composition: 8.1 kJ per mole of atoms
# DFT formation energy: -0.358 eV per atom

---

# PBE-GGA PaPd14Pb, relaxed
data_PaPd14Pb
_space_group_name_H-M_alt 'P 1'
_space_group_IT_number 1
_cell_length_a 5.823
_cell_length_b 5.823
_cell_length_c 7.772
_cell_angle_alpha 90.00
_cell_angle_beta 90.00
_cell_angle_gamma 90.00
loop_
_space_group_symop_operation_xyz
'x,y,z'
loop_
_atom_site_label
_atom_site_type_symbol
_atom_site_fract_x
_atom_site_fract_y
_atom_site_fract_z
_atom_site_occupancy
Pa1 Pa 0.000 0.000 0.000 1
Pd1 Pd 0.000 0.000 0.500 1
Pd2 Pd 0.000 0.500 0.000 1
Pd3 Pd 0.000 0.500 0.500 1
Pd4 Pd 0.247 0.247 0.254 1
Pd5 Pd 0.247 0.247 0.746 1
Pd6 Pd 0.247 0.753 0.254 1
Pd7 Pd 0.247 0.753 0.746 1
Pd8 Pd 0.500 0.000 0.000 1
Pd9 Pd 0.500 0.000 0.500 1
Pd10 Pd 0.500 0.500 0.500 1
Pd11 Pd 0.753 0.247 0.254 1
Pd12 Pd 0.753 0.247 0.746 1
Pd13 Pd 0.753 0.753 0.254 1
Pd14 Pd 0.753 0.753 0.746 1
Pb1 Pb 0.500 0.500 0.000 1
# Total energy: -90.94 eV for the cell shown
# DFT formation energy: -0.315 eV per atom

---

# PBE-GGA PaPd4Pb, relaxed
data_PaPd4Pb
_space_group_name_H-M_alt 'P 1'
_space_group_IT_number 1
_cell_length_a 5.426
_cell_length_b 5.426
_cell_length_c 5.426
_cell_angle_alpha 60.00
_cell_angle_beta 60.00
_cell_angle_gamma 60.00
loop_
_space_group_symop_operation_xyz
'x,y,z'
loop_
_atom_site_label
_atom_site_type_symbol
_atom_site_fract_x
_atom_site_fract_y
_atom_site_fract_z
_atom_site_occupancy
Pa1 Pa 0.000 0.000 0.000 1
Pd1 Pd 0.124 0.625 0.625 1
Pd2 Pd 0.625 0.124 0.625 1
Pd3 Pd 0.625 0.625 0.124 1
Pd4 Pd 0.625 0.625 0.625 1
Pb1 Pb 0.250 0.250 0.250 1
# Total energy: -36.70 eV for the cell shown
# Energy relative to the lowest polymorph listed for this composition: 2.6 kJ per mole of atoms
# DFT formation energy: -0.455 eV per atom